Entry from the Alexandria database: an optimized crystal structure of MnH4S2O10 (GGA+U).

## Properties
- E (eV/atom) = -5.82

abc: 6.030 7.493 9.983
angles: 69.05 77.89 71.75
Atoms (fractional coordinates):
Mn 0.023 0.478 0.251
Mn 0.977 0.522 0.749
H 0.203 0.196 0.896
H 0.234 0.204 0.726
H 0.252 0.104 0.331
H 0.419 0.234 0.215
H 0.581 0.766 0.785
H 0.748 0.896 0.669
H 0.766 0.796 0.274
H 0.797 0.804 0.104
S 0.113 0.741 0.408
S 0.147 0.730 0.923
S 0.853 0.270 0.077
S 0.887 0.259 0.592
O 0.084 0.135 0.060
O 0.133 0.149 0.605
O 0.143 0.585 0.557
O 0.169 0.653 0.798
O 0.181 0.545 0.057
O 0.201 0.620 0.303
O 0.234 0.279 0.792
O 0.276 0.861 0.382
O 0.283 0.238 0.294
O 0.346 0.815 0.894
O 0.654 0.185 0.106
O 0.717 0.762 0.706
O 0.724 0.139 0.618
O 0.766 0.721 0.208
O 0.799 0.380 0.697
O 0.819 0.455 0.943
O 0.831 0.347 0.202
O 0.857 0.415 0.443
O 0.867 0.851 0.395
O 0.916 0.865 0.940